The following is a PBE-GGA calculation of crystalline KNa6Tl6 at its relaxed geometry, from Alexandria via LeMat-Bulk.

a = 8.644 Å, b = 8.644 Å, c = 8.644 Å
α = 134.94°, β = 99.70°, γ = 97.19°
Element x y z (fractional)
K  0.000  0.000  0.000
Na  0.194  0.694  0.500
Na  0.336  0.000  0.336
Na  0.348  0.348  0.000
Na  0.652  0.652  0.000
Na  0.664  0.000  0.664
Na  0.806  0.306  0.500
Tl  0.000  0.000  0.500
Tl  0.000  0.500  0.000
Tl  0.233  0.500  0.733
Tl  0.500  0.000  0.000
Tl  0.500  0.500  0.500
Tl  0.767  0.500  0.267

Calculated values
ρ: 5.52 g/cm3
energy relative to the elements: -0.0970 eV per atom
symmetry: Immm (71)
N(E_F): 6.505 states/eV/cell
final energy: -1.88 eV per atom